No. 1
## Nd2SmMgTl4 (PBE)

Data for a geometry-optimized Nd2SmMgTl4 structure.

Properties
As for the spin magnetization: 0.00 μB/cell. As for the electronic total energy: -3.4903 eV/atom.

Cell lengths 5.3581, 5.3581, 27.3780 Å; angles 90.00, 90.00, 120.00 degrees
Closest atoms and distances in Å follow each position.
Space group R-3m (No. 166, hexagonal axes)
Symmetry-distinct sites (fractional):
Nd 0.0000 0.0000 0.2414 x6  7 Tl 3.21-3.39
Sm 0.0000 0.0000 0.0000 x3  8 Tl 3.29-3.36
Mg 0.0000 0.0000 0.5000 x3  8 Tl 3.32-3.44, 6 Nd 3.71
Tl 0.0000 0.0000 0.1228 x6  4 Nd 3.21-3.25, 3 Mg 3.32, 1 Sm 3.36
Tl 0.0000 0.0000 0.3744 x6  3 Sm 3.29, 4 Nd 3.39-3.64, 1 Mg 3.44

No. 2
## Mn2TeSCl (PBE)

Data for a geometry-optimized Mn2TeSCl structure.

Properties
The calculation puts the formation energy without anion corrections at 1.49 eV per atom. As for the spin magnetization: 0.41 μB/cell. As for the electronic total energy: -4.0002 eV/atom.

Cell lengths 4.8849, 4.8849, 5.0390 Å; angles 90.00, 90.00, 90.00 degrees
Closest atoms and distances in Å follow each position.
Space group P4/mmm (No. 123)
Symmetry-distinct sites (fractional):
Mn 0.0000 0.5000 0.0000 x2  2 Te 2.44
Te 0.0000 0.0000 0.0000 x1  4 Mn 2.44, 2 Cl 2.52
S 0.5000 0.5000 0.5000 x1  4 Cl 3.45, 8 Mn 3.51
Cl 0.0000 0.0000 0.5000 x1  2 Te 2.52

No. 3
## AlTe2Cl (PBE)

Data for a geometry-optimized AlTe2Cl structure.

Properties
The energy above the most stable polymorph in this dataset comes out at 270 meV per atom. The calculation puts the formation energy without anion corrections at -0.29 eV per atom. As for the spin magnetization: 0.00 μB/cell. As for the electronic total energy: -3.2616 eV/atom.

Cell lengths 4.1852, 4.1852, 24.8090 Å; angles 90.00, 90.00, 120.00 degrees
Closest atoms and distances in Å follow each position.
Space group R-3m (No. 166, hexagonal axes)
Symmetry-distinct sites (fractional):
Al 0.0000 0.0000 0.0000 x3  6 Te 2.82
Te 0.0000 0.0000 0.3919 x6  1 Cl 2.68, 3 Al 2.82
Cl 0.0000 0.0000 0.5000 x3  2 Te 2.68

No. 4
## NdSiRh (PBE)

Data for a geometry-optimized NdSiRh structure.

Properties
The calculation puts the formation energy without anion corrections at -0.87 eV per atom. As for the spin magnetization: 0.00 μB/cell. As for the electronic total energy: -6.7185 eV/atom.

Cell lengths 4.1558, 4.1558, 4.2269 Å; angles 90.00, 90.00, 120.00 degrees
Closest atoms and distances in Å follow each position.
Space group P-6m2 (No. 187)
Symmetry-distinct sites (fractional):
Nd 0.0000 0.0000 0.0000 x1  6 Rh 3.20, 6 Si 3.20
Si 0.3333 0.6667 0.5000 x1  3 Rh 2.40
Rh 0.6667 0.3333 0.5000 x1  3 Si 2.40

No. 5
## Tm2CoNi (PBE)

Data for a geometry-optimized Tm2CoNi structure.

Properties
The energy above the most stable polymorph in this dataset comes out at 740 meV per atom. As for the spin magnetization: 0.00 μB/cell. As for the electronic total energy: -5.0880 eV/atom.

Cell lengths 3.3537, 3.3537, 25.7792 Å; angles 90.00, 90.00, 120.00 degrees
Closest atoms and distances in Å follow each position.
Space group R-3m (No. 166, hexagonal axes)
Symmetry-distinct sites (fractional):
Tm 0.0000 0.0000 0.0975 x6  1 Ni 2.51, 3 Co 2.63
Co 0.0000 0.0000 0.5000 x3  6 Tm 2.63
Ni 0.0000 0.0000 0.0000 x3  2 Tm 2.51

No. 6
## AlAg2Pb (PBE)

Data for a geometry-optimized AlAg2Pb structure.

Properties
The energy above the most stable polymorph in this dataset comes out at 125 meV per atom. As for the spin magnetization: 0.00 μB/cell. As for the electronic total energy: -3.1211 eV/atom.

Cell lengths 4.4272, 4.4272, 4.2757 Å; angles 90.00, 90.00, 90.00 degrees
Closest atoms and distances in Å follow each position.
Space group P4/mmm (No. 123)
Symmetry-distinct sites (fractional):
Al 0.0000 0.0000 0.0000 x1  8 Ag 3.08, 4 Pb 3.13
Ag 0.0000 0.5000 0.5000 x2  4 Pb 3.08, 4 Al 3.08, 4 Ag 3.13
Pb 0.5000 0.5000 0.0000 x1  8 Ag 3.08, 4 Al 3.13

No. 7
## Nb2CuTc (PBE)

Data for a geometry-optimized Nb2CuTc structure.

Properties
As for the spin magnetization: 0.00 μB/cell. As for the electronic total energy: -8.6893 eV/atom.

Cell lengths 4.4184, 4.4184, 3.2660 Å; angles 90.00, 90.00, 90.00 degrees
Closest atoms and distances in Å follow each position.
Space group P4/mmm (No. 123)
Symmetry-distinct sites (fractional):
Nb 0.0000 0.5000 0.0000 x2  4 Tc 2.75, 4 Cu 2.75
Cu 0.0000 0.0000 0.5000 x1  8 Nb 2.75
Tc 0.5000 0.5000 0.5000 x1  8 Nb 2.75

No. 8
## NaSrIn2Cu (PBE)

Data for a geometry-optimized NaSrIn2Cu structure.

Properties
As for the spin magnetization: 0.00 μB/cell. As for the electronic total energy: -2.5967 eV/atom.

Cell lengths 5.1275, 5.1275, 5.3207 Å; angles 90.00, 90.00, 90.00 degrees
Closest atoms and distances in Å follow each position.
Space group P4/mmm (No. 123)
Symmetry-distinct sites (fractional):
Na 0.0000 0.0000 0.0000 x1  2 Cu 2.66
Sr 0.5000 0.5000 0.0000 x1  4 Na 3.63, 8 In 3.69
In 0.0000 0.5000 0.5000 x2  2 Cu 2.56
Cu 0.0000 0.0000 0.5000 x1  4 In 2.56, 2 Na 2.66

No. 9
## K3Pm3WS8 (PBE)

Data for a geometry-optimized K3Pm3WS8 structure.

Properties
The calculation puts the formation energy without anion corrections at -1.49 eV per atom. As for the spin magnetization: 4.01 μB/cell. As for the electronic total energy: -5.7266 eV/atom.

Cell lengths 13.9009, 8.0273, 8.8506 Å; angles 90.00, 121.61, 90.00 degrees
Closest atoms and distances in Å follow each position.
Space group C2/m (No. 12)
Symmetry-distinct sites (fractional):
K 0.0000 0.0000 0.0000 x2  6 S 3.19-3.22
K 0.2500 0.2500 0.0000 x4  6 S 3.19-3.22
Pm 0.0000 0.5000 0.5000 x2  6 S 2.80-2.84
Pm 0.2500 0.2500 0.5000 x4  6 S 2.80-2.84
W 0.0000 0.0000 0.5000 x2  6 S 2.52
S 0.0112 0.2235 0.3104 x8  1 W 2.52
S 0.2122 0.0000 0.6896 x4  1 W 2.52
S 0.2363 0.5000 0.7087 x4  3 Pm 2.80

No. 10
## CaTi2AgP (PBE)

Data for a geometry-optimized CaTi2AgP structure.

Properties
As for the spin magnetization: 2.55 μB/cell. As for the electronic total energy: -3.4343 eV/atom.

Cell lengths 4.9121, 4.9121, 4.9101 Å; angles 90.00, 90.00, 90.00 degrees
Closest atoms and distances in Å follow each position.
Space group P4/mmm (No. 123)
Symmetry-distinct sites (fractional):
Ca 0.0000 0.0000 0.0000 x1  2 Ag 2.46, 4 Ti 2.46
Ti 0.0000 0.5000 0.0000 x2  2 Ca 2.46
Ag 0.0000 0.0000 0.5000 x1  2 Ca 2.46
P 0.5000 0.5000 0.5000 x1  8 Ti 3.47, 4 Ag 3.47

No. 11
## AlCoHPt2 (PBE)

Data for a geometry-optimized AlCoHPt2 structure.

Properties
As for the spin magnetization: 0.97 μB/cell. As for the electronic total energy: -5.6346 eV/atom.

Cell lengths 3.9436, 3.9436, 3.7378 Å; angles 90.00, 90.00, 90.00 degrees
Closest atoms and distances in Å follow each position.
Space group P4/mmm (No. 123)
Symmetry-distinct sites (fractional):
Al 0.0000 0.0000 0.0000 x1  8 Pt 2.72, 4 Co 2.79
Co 0.5000 0.5000 0.0000 x1  2 H 1.87
H 0.5000 0.5000 0.5000 x1  2 Co 1.87, 4 Pt 1.97
Pt 0.0000 0.5000 0.5000 x2  2 H 1.97

No. 12
## BiTe2IN (PBE)

Data for a geometry-optimized BiTe2IN structure.

Properties
The energy above the most stable polymorph in this dataset comes out at 358 meV per atom. The calculation puts the formation energy without anion corrections at 1.08 eV per atom. As for the spin magnetization: 0.00 μB/cell. As for the electronic total energy: -2.9319 eV/atom.

Cell lengths 5.9990, 5.9990, 4.0154 Å; angles 90.00, 90.00, 90.00 degrees
Closest atoms and distances in Å follow each position.
Space group P4/mmm (No. 123)
Symmetry-distinct sites (fractional):
Bi 0.0000 0.0000 0.0000 x1  8 Te 3.61, 2 Bi 4.02
Te 0.0000 0.5000 0.5000 x2  2 I 3.00
I 0.5000 0.5000 0.5000 x1  2 N 2.01
N 0.5000 0.5000 0.0000 x1  2 I 2.01

No. 13
## CsCd3Ni (PBE)

Data for a geometry-optimized CsCd3Ni structure.

Properties
As for the spin magnetization: 0.00 μB/cell. As for the electronic total energy: -1.8531 eV/atom.

Cell lengths 5.2657, 5.2657, 5.2657 Å; angles 90.00, 90.00, 90.00 degrees
Closest atoms and distances in Å follow each position.
Space group Pm-3m (No. 221)
Symmetry-distinct sites (fractional):
Cs 0.0000 0.0000 0.0000 x1  12 Cd 3.72
Cd 0.0000 0.5000 0.5000 x3  2 Ni 2.63
Ni 0.5000 0.5000 0.5000 x1  6 Cd 2.63